Mg2FeIO6 (GGA+U, optimized geometry); DFT total energy = -5.52 eV/atom
1.0
5.2874 0.0004 0.0000
2.6440 4.5787 -0.0001
2.6435 1.5265 4.7321
Mg Fe I O
2 1 1 6
direct
0.5218 0.5218 0.4346
0.0218 0.0218 0.9348
0.8120 0.8121 0.5638
0.3143 0.3143 0.0572
0.6167 0.2101 0.2562
0.2102 0.9170 0.2561
0.9170 0.6167 0.2561
0.4268 0.7156 0.7522
0.7156 0.1054 0.7522
0.1054 0.4268 0.7522